(1)
A plane-wave DFT calculation with PBE was carried out for an optimized crystal structure of Ca2ZnSbAu6.

The structure in POSCAR format:
```
Ca2ZnSbAu6
1.0
-6.398 3.154 0.420
-1.363 -1.866 -6.761
-5.913 -3.694 -1.564
Ca Sb Au Zn
2 1 6 1
Direct
0.750 0.250 0.500 Ca
0.250 0.750 0.500 Ca
0.000 0.000 0.000 Sb
0.259 0.741 0.000 Au
0.259 0.259 0.000 Au
0.741 0.741 0.000 Au
0.741 0.741 0.519 Au
0.259 0.259 0.481 Au
0.741 0.259 0.000 Au
0.500 0.500 0.000 Zn
```

Final energy = -31.01 eV for the cell shown
Space group = Fm-3m, No. 225

***

(2)
A plane-wave DFT calculation with PBE was carried out for an optimized crystal structure of Ba2Pt.

The structure in POSCAR format:
```
Ba2Pt
1.0
-4.548 4.420 0.607
-1.759 -0.980 -6.044
-1.251 -6.535 4.782
Ba Pt
4 2
Direct
0.731 0.731 0.462 Ba
0.981 0.481 0.962 Ba
0.519 0.019 0.038 Ba
0.269 0.269 0.538 Ba
0.750 0.250 0.500 Pt
0.500 0.500 0.000 Pt
```

Final energy = -23.44 eV for the cell shown
Space group = I4_1/amd, No. 141
Energy of formation = -58.9 kJ/mol of atoms

***

(3)
A plane-wave DFT calculation with PBE was carried out for an optimized crystal structure of AsPtSe2.

The structure in POSCAR format:
```
AsPtSe2
1.0
6.193 -0.021 0.003
3.659 4.997 -0.003
-4.688 -2.959 2.761
As Se Pt
1 2 1
Direct
0.411 0.411 0.000 As
0.772 0.272 0.500 Se
0.075 0.075 0.000 Se
0.242 0.742 0.500 Pt
```

Final energy = -17.36 eV for the cell shown
Space group = Imm2, No. 44

***

(4)
A plane-wave DFT calculation with PBE was carried out for an optimized crystal structure of La8Te4Se3Cl.

The structure in POSCAR format:
```
La8Te4Se3Cl
1.0
8.868 0.000 0.000
0.000 8.880 0.003
-4.434 -4.430 6.273
Cl La Te Se
1 8 4 3
Direct
0.000 0.500 0.000 Cl
0.741 0.723 0.482 La
0.757 0.276 0.018 La
0.261 0.276 0.018 La
0.756 0.274 0.512 La
0.739 0.724 0.982 La
0.243 0.724 0.982 La
0.244 0.726 0.488 La
0.259 0.277 0.518 La
0.000 0.000 0.000 Te
0.500 0.000 0.000 Te
0.500 0.000 0.500 Te
0.000 0.000 0.500 Te
0.000 0.500 0.500 Se
0.500 0.500 0.500 Se
0.500 0.500 0.000 Se
```

Final energy = -92.29 eV for the cell shown
Space group = C2/m, No. 12

***

(5)
A plane-wave DFT calculation with PBE was carried out for an optimized crystal structure of Tb6Dy2Tm.

The structure in POSCAR format:
```
Tb6Dy2Tm
1.0
3.523 0.318 0.221
-0.162 6.029 -6.226
0.924 0.689 12.707
Tb Dy Tm
6 2 1
Direct
0.111 0.445 0.778 Tb
0.889 0.555 0.222 Tb
0.334 0.332 0.332 Tb
0.778 0.111 0.444 Tb
0.222 0.889 0.556 Tb
0.666 0.668 0.668 Tb
0.555 0.222 0.890 Dy
0.445 0.778 0.110 Dy
0.000 0.000 0.000 Tm
```

Final energy = -41.31 eV for the cell shown
Space group = P-1, No. 2
Energy of formation = 1.6 kJ/mol of atoms

***

(6)
A plane-wave DFT calculation with PBE was carried out for an optimized crystal structure of MgBeF.

The structure in POSCAR format:
```
MgBeF
1.0
6.854 0.000 0.000
0.000 2.967 0.000
-2.482 0.000 8.925
Be Mg F
4 4 4
Direct
0.543 0.500 0.950 Be
0.393 0.500 0.549 Be
0.543 0.000 0.450 Be
0.393 0.000 0.049 Be
0.764 0.000 0.197 Mg
0.267 0.500 0.239 Mg
0.267 0.000 0.739 Mg
0.764 0.500 0.697 Mg
0.962 0.000 0.720 F
0.962 0.500 0.220 F
0.742 0.000 0.402 F
0.742 0.500 0.902 F
```

Final energy = -44.63 eV for the cell shown
Space group = Cm, No. 8

***

(7)
A plane-wave DFT calculation with PBE was carried out for an optimized crystal structure of Sm15Y4Mg.

The structure in POSCAR format:
```
Sm15Y4Mg
1.0
-2.428 3.369 -2.935
1.277 -2.678 -4.130
-21.502 -13.604 2.172
Y Sm Mg
4 15 1
Direct
0.000 0.000 0.197 Y
0.000 0.000 0.399 Y
0.000 0.000 0.803 Y
0.000 0.000 0.601 Y
0.500 0.500 0.000 Sm
0.000 0.500 0.098 Sm
0.500 0.000 0.902 Sm
0.500 0.500 0.601 Sm
0.000 0.500 0.500 Sm
0.000 0.500 0.298 Sm
0.500 0.500 0.399 Sm
0.500 0.000 0.298 Sm
0.500 0.000 0.500 Sm
0.500 0.500 0.803 Sm
0.000 0.500 0.902 Sm
0.500 0.500 0.197 Sm
0.500 0.000 0.098 Sm
0.500 0.000 0.702 Sm
0.000 0.500 0.702 Sm
0.000 0.000 0.000 Mg
```

Final energy = -97.96 eV for the cell shown
Space group = P4/mmm, No. 123
Energy of formation = 1.3 kJ/mol of atoms

***

(8)
A plane-wave DFT calculation with PBE was carried out for an optimized crystal structure of BaTcTe.

The structure in POSCAR format:
```
BaTcTe
1.0
4.505 0.000 0.000
0.000 4.505 0.000
0.000 0.000 9.519
Te Ba Tc
2 2 2
Direct
0.500 0.000 0.646 Te
0.000 0.500 0.354 Te
0.000 0.500 0.800 Ba
0.500 0.000 0.200 Ba
0.000 0.000 0.500 Tc
0.500 0.500 0.500 Tc
```

Final energy = -32.92 eV for the cell shown
Space group = P4/nmm, No. 129

***

| no. | calculated volume (Å³ per cell) |
| --- | --- |
| 1 | 258.0 |
| 2 | 277.8 |
| 3 | 85.6 |
| 4 | 494.1 |
| 5 | 282.6 |
| 6 | 181.5 |
| 7 | 660.4 |
| 8 | 193.2 |